No. 1
Here is a geometry-optimized LaHoTmTe3 structure from the Alexandria database. Energies are from PBE-GGA.

Computed properties:
* total DFT energy (no corrections): -5.158 eV/atom
* uncorrected formation energy: -1258 meV per atom
* magnetization: 0.00 Bohr magnetons per cell

```
data_LaHoTmTe3
_symmetry_space_group_name_H-M 'P 1 21/m 1'
_symmetry_Int_Tables_number 11
_cell_length_a 8.5968
_cell_length_b 4.3255
_cell_length_c 10.7727
_cell_angle_alpha 90.00
_cell_angle_beta 106.45
_cell_angle_gamma 90.00
loop_
_symmetry_equiv_pos_as_xyz
'x,y,z'
'-x,-y,-z'
'-x,y+1/2,-z'
'x,-y+1/2,z'
loop_
_atom_site_label
_atom_site_fract_x
_atom_site_fract_y
_atom_site_fract_z
_atom_site_occupancy
La1 0.1879 0.2500 0.2188 1
Ho1 0.3372 0.7500 0.9068 1
Tm1 0.1523 0.2500 0.6235 1
Te1 0.0919 0.2500 0.8933 1
Te2 0.2234 0.7500 0.4565 1
Te3 0.4852 0.7500 0.2042 1
```

***

No. 2
Here is a geometry-optimized La2HoTmTe6 structure from the Alexandria database. Energies are from PBE-GGA.

Computed properties:
* total DFT energy (no corrections): -5.203 eV/atom
* uncorrected formation energy: -1427 meV per atom
* magnetization: 0.00 Bohr magnetons per cell

```
data_La2HoTmTe6
_symmetry_space_group_name_H-M 'R 3'
_symmetry_Int_Tables_number 146
_symmetry_space_group_name_Hall 'R 3'
_cell_length_a 7.9240
_cell_length_b 7.9240
_cell_length_c 20.9807
_cell_angle_alpha 90.00
_cell_angle_beta 90.00
_cell_angle_gamma 120.00
loop_
_atom_site_label
_atom_site_fract_x
_atom_site_fract_y
_atom_site_fract_z
_atom_site_occupancy
La1 0.0000 0.0000 0.0000 1
La2 0.0000 0.0000 0.5002 1
Ho1 0.0000 0.0000 0.3046 1
Tm1 0.0000 0.0000 0.8046 1
Te1 0.0127 0.6355 0.0624 1
Te2 0.0148 0.3785 0.5618 1
```

***

Q: What is the total DFT energy (no corrections) in the second record?
A: -5.203 eV/atom

***

Q: total DFT energy (no corrections) of number 2 (La2HoTmTe6)?
A: -5.203 eV/atom

***

Please write out number 1 again, unchanged.
Here is a geometry-optimized LaHoTmTe3 structure from the Alexandria database. Energies are from PBE-GGA.

Computed properties:
* total DFT energy (no corrections): -5.158 eV/atom
* uncorrected formation energy: -1258 meV per atom
* magnetization: 0.00 Bohr magnetons per cell

```
data_LaHoTmTe3
_symmetry_space_group_name_H-M 'P 1 21/m 1'
_symmetry_Int_Tables_number 11
_cell_length_a 8.5968
_cell_length_b 4.3255
_cell_length_c 10.7727
_cell_angle_alpha 90.00
_cell_angle_beta 106.45
_cell_angle_gamma 90.00
loop_
_symmetry_equiv_pos_as_xyz
'x,y,z'
'-x,-y,-z'
'-x,y+1/2,-z'
'x,-y+1/2,z'
loop_
_atom_site_label
_atom_site_fract_x
_atom_site_fract_y
_atom_site_fract_z
_atom_site_occupancy
La1 0.1879 0.2500 0.2188 1
Ho1 0.3372 0.7500 0.9068 1
Tm1 0.1523 0.2500 0.6235 1
Te1 0.0919 0.2500 0.8933 1
Te2 0.2234 0.7500 0.4565 1
Te3 0.4852 0.7500 0.2042 1
```

***

Q: The highest uncorrected formation energy belongs to which entry?
A: LaHoTmTe3